Entry from Alexandria via LeMat-Bulk: crystalline HfTlVO5 at its relaxed geometry (GGA+U).

Unit cell a=6.120 b=6.120 c=7.796 alpha=105.53 beta=105.53 gamma=105.14
Fractional coordinates of all 16 atoms:
O 0.779 0.619 0.391
O 0.944 0.056 0.750
O 0.721 0.130 0.388
O 0.221 0.381 0.609
O 0.130 0.721 0.888
O 0.056 0.944 0.250
O 0.279 0.870 0.612
O 0.870 0.279 0.112
O 0.381 0.221 0.109
O 0.619 0.779 0.891
Tl 0.321 0.679 0.250
Tl 0.679 0.321 0.750
V 0.687 0.313 0.250
V 0.313 0.687 0.750
Hf 0.000 0.000 0.000
Hf 0.000 0.000 0.500

Its space-group type is No. 15. As for the crystal system: monoclinic. Its total magnetization is 0.000 μB per atom. The value obtained for the total energy is -7.87 eV per atom.